VASP calculation (PBE-GGA) on LaPm2SmEr after structural relaxation.

Unit cell a=6.5329 b=8.5745 c=6.3189 alpha=96.59 beta=90.00 gamma=90.00
Closest atoms and distances in Å follow each position.
Positions (direct):
La (0.0000, 0.0000, 0.0000)  2 La 3.16, 2 Sm 3.28, 2 Pm 3.52
La (0.0000, 0.0000, 0.5000)  2 La 3.16, 2 Sm 3.28, 2 Pm 3.52
Pm (0.6879, 0.6861, 0.7866)  1 Sm 3.17, 1 Pm 3.17, 1 Er 3.51, 1 La 3.52
Pm (0.6879, 0.3139, 0.7134)  1 Sm 3.17, 1 Pm 3.17, 1 Er 3.51, 1 La 3.52
Pm (0.3121, 0.6861, 0.2866)  1 Sm 3.17, 1 Pm 3.17, 1 Er 3.51, 1 La 3.52
Pm (0.3121, 0.3139, 0.2134)  1 Sm 3.17, 1 Pm 3.17, 1 Er 3.51, 1 La 3.52
Sm (0.5596, 0.0000, 0.2500)  2 Pm 3.17, 2 Sm 3.25, 2 La 3.28
Sm (0.4404, 0.0000, 0.7500)  2 Pm 3.17, 2 Sm 3.25, 2 La 3.28
Er (0.1669, 0.5000, 0.7500)  8 Pm 3.51-3.76, 2 Er 3.84
Er (0.8331, 0.5000, 0.2500)  8 Pm 3.51-3.76, 2 Er 3.84

Calculated values
For the formation energy, the calculation gives 273 meV per atom. The value obtained for the size of the total moment is 0.00 μB per cell.